[1]
A plane-wave DFT calculation with PBE-GGA was carried out for crystalline BaPmTm at its relaxed geometry.

abc: 3.801 3.801 16.369
angles: 90.00 90.00 90.00
Space group I4mm (No. 107)
One atom of each set of equivalent atoms:
Ba (0.000, 0.000, 0.000) x2
Pm (0.000, 0.000, 0.316) x2
Tm (0.000, 0.000, 0.681) x2

Results
**Crystal system**: tetragonal

***

[2]
A plane-wave DFT calculation with PBE-GGA was carried out for crystalline BaPmY2 at its relaxed geometry.

abc: 3.738 3.738 10.874
angles: 90.00 90.00 90.00
Space group P4/mmm (No. 123)
One atom of each set of equivalent atoms:
Ba (0.000, 0.000, 0.000) x1
Pm (0.000, 0.000, 0.500) x1
Y (0.500, 0.500, 0.282) x2

Results
**Crystal system**: tetragonal

***

[3]
A plane-wave DFT calculation with PBE-GGA was carried out for crystalline BaPmY at its relaxed geometry.

abc: 3.816 3.816 16.622
angles: 90.00 90.00 90.00
Space group I4mm (No. 107)
One atom of each set of equivalent atoms:
Ba (0.000, 0.000, 0.000) x2
Pm (0.000, 0.000, 0.319) x2
Y (0.000, 0.000, 0.681) x2

Results
**Crystal system**: tetragonal
**Polymorph energy (0 for the lowest one)**: 0 meV/atom

***

no.,DFT formation energy (eV/atom),energy (eV per cell),DOS at the Fermi energy (states/eV/atom)
1,0.1797,-21.2,1.718
2,0.1472,-19.0,1.604
3,0.1621,-25.3,1.793